No. 1
TaRu2Pb: optimized geometry, PBE.

Unit cell a=5.1391 b=5.1391 c=4.6047 alpha=105.47 beta=105.47 gamma=36.54
Fractional positions:
Ta: 0.0000 0.0000 0.0000
Ru: 0.2763 0.2763 0.8847
Ru: 0.5066 0.5066 0.5236
Pb: 0.7596 0.7596 0.3667

* space-group type: No. 8
* electronic total energy: -33.39 eV/cell
* energy of formation from the pure elements: 70 kJ/mol of formula units
* magnetic moment: 0.000 Bohr magnetons per cell


No. 2
ScZn2Hg: optimized geometry, PBE.

Unit cell a=4.1416 b=4.1416 c=4.3614 alpha=90.00 beta=90.00 gamma=90.00
Fractional positions:
Sc: 0.0000 0.0000 0.0000
Zn: 0.0000 0.5000 0.5000
Zn: 0.5000 0.0000 0.5000
Hg: 0.5000 0.5000 0.0000

* space-group type: No. 123
* electronic total energy: -10.12 eV/cell
* energy of formation from the pure elements: -90 kJ/mol of formula units
* magnetic moment: 0.000 Bohr magnetons per cell


No. 3
Sr2ZnNiGe: optimized geometry, PBE.

Unit cell a=5.7310 b=5.7310 c=4.4447 alpha=90.00 beta=90.00 gamma=90.00
Fractional positions:
Sr: 0.0000 0.5000 0.0000
Sr: 0.5000 0.0000 0.0000
Zn: 0.0000 0.0000 0.5000
Ni: 0.5000 0.5000 0.0000
Ge: 0.5000 0.5000 0.5000

* space-group type: No. 123
* electronic total energy: -16.13 eV/cell
* energy of formation from the pure elements: -105 kJ/mol of formula units
* magnetic moment: 0.000 Bohr magnetons per cell